(1)
{
  "formula": "Ac2ErTmS4",
  "functional": "PBE-GGA",
  "state": "relaxed",
  "volume_a3_per_fu": 192.3,
  "raw_formation_energy_kj_per_mol_atoms": -189.93,
  "rho_g_cm3": 7.929,
  "cell": [[6.885, 0.000, 0.000], [0.000, 3.958, 0.000], [-2.283, 0.000, 7.057]],
  "species": ["Ac", "Ac", "Er", "Tm", "S", "S", "S", "S"],
  "frac_coords": [[0.000, 0.000, 0.000], [0.500, 0.500, 0.000], [0.000, 0.500, 0.500], [0.500, 0.000, 0.500], [0.238, 0.000, 0.713], [0.264, 0.500, 0.288], [0.736, 0.500, 0.712], [0.762, 0.000, 0.287]]
}

---

(2)
{
  "formula": "AcErUS6",
  "functional": "PBE-GGA",
  "state": "relaxed",
  "volume_a3_per_fu": 246.1,
  "raw_formation_energy_kj_per_mol_atoms": -144.86,
  "rho_g_cm3": 5.565,
  "cell": [[6.927, 0.000, 0.000], [-3.464, 5.999, 0.000], [0.000, 0.000, 5.921]],
  "species": ["Ac", "Er", "U", "S", "S", "S", "S", "S", "S"],
  "frac_coords": [[0.000, 0.000, 0.000], [0.333, 0.667, 0.000], [0.667, 0.333, 0.500], [0.372, 0.011, 0.257], [0.372, 0.361, 0.743], [0.639, 0.011, 0.743], [0.639, 0.628, 0.257], [0.989, 0.361, 0.257], [0.989, 0.628, 0.743]]
}

---

(3)
{
  "formula": "Ac2ErVS6",
  "functional": "PBE-GGA",
  "state": "relaxed",
  "volume_a3_per_fu": 243.9,
  "raw_formation_energy_kj_per_mol_atoms": -159.61,
  "rho_g_cm3": 5.887,
  "cell": [[7.103, 0.000, 0.000], [0.000, 9.959, 0.000], [0.000, 0.000, 6.895]],
  "species": ["Ac", "Ac", "Ac", "Ac", "Er", "Er", "V", "V", "S", "S", "S", "S", "S", "S", "S", "S", "S", "S", "S", "S"],
  "frac_coords": [[0.250, 0.043, 0.210], [0.250, 0.457, 0.210], [0.750, 0.543, 0.790], [0.750, 0.957, 0.790], [0.250, 0.750, 0.758], [0.750, 0.250, 0.242], [0.250, 0.250, 0.729], [0.750, 0.750, 0.271], [0.008, 0.250, 0.972], [0.031, 0.250, 0.474], [0.250, 0.012, 0.765], [0.250, 0.488, 0.765], [0.469, 0.250, 0.474], [0.492, 0.250, 0.972], [0.508, 0.750, 0.028], [0.531, 0.750, 0.526], [0.750, 0.512, 0.235], [0.750, 0.988, 0.235], [0.969, 0.750, 0.526], [0.992, 0.750, 0.028]]
}

---

(4)
{
  "formula": "AcY2ErS4",
  "functional": "PBE-GGA",
  "state": "relaxed",
  "volume_a3_per_fu": 182.5,
  "raw_formation_energy_kj_per_mol_atoms": -187.35,
  "rho_g_cm3": 6.371,
  "cell": [[6.916, 0.000, 0.000], [0.000, 3.952, 0.000], [-2.269, 0.000, 6.678]],
  "species": ["Ac", "Y", "Y", "Er", "S", "S", "S", "S"],
  "frac_coords": [[0.000, 0.000, 0.000], [0.500, 0.000, 0.500], [0.500, 0.500, 0.000], [0.000, 0.500, 0.500], [0.254, 0.000, 0.736], [0.267, 0.500, 0.272], [0.733, 0.500, 0.728], [0.746, 0.000, 0.264]]
}

---

(5)
{
  "formula": "AcYEr2S4",
  "functional": "PBE-GGA",
  "state": "relaxed",
  "volume_a3_per_fu": 180.6,
  "raw_formation_energy_kj_per_mol_atoms": -187.04,
  "rho_g_cm3": 7.161,
  "cell": [[6.873, 0.000, 0.000], [0.000, 3.927, 0.000], [-2.255, 0.000, 6.690]],
  "species": ["Ac", "Y", "Er", "Er", "S", "S", "S", "S"],
  "frac_coords": [[0.000, 0.000, 0.000], [0.500, 0.500, 0.000], [0.000, 0.500, 0.500], [0.500, 0.000, 0.500], [0.256, 0.000, 0.734], [0.270, 0.500, 0.275], [0.730, 0.500, 0.725], [0.744, 0.000, 0.266]]
}

---

(6)
{
  "formula": "Ac2YErS4",
  "functional": "PBE-GGA",
  "state": "relaxed",
  "volume_a3_per_fu": 194.8,
  "raw_formation_energy_kj_per_mol_atoms": -191.27,
  "rho_g_cm3": 7.146,
  "cell": [[6.939, 0.000, 0.000], [0.000, 3.988, 0.000], [-2.298, 0.000, 7.041]],
  "species": ["Ac", "Ac", "Y", "Er", "S", "S", "S", "S"],
  "frac_coords": [[0.000, 0.000, 0.000], [0.500, 0.500, 0.000], [0.000, 0.500, 0.500], [0.500, 0.000, 0.500], [0.241, 0.000, 0.717], [0.265, 0.500, 0.285], [0.735, 0.500, 0.715], [0.759, 0.000, 0.283]]
}

---

(7)
{
  "formula": "AcEr5Sb6",
  "functional": "PBE-GGA",
  "state": "relaxed",
  "volume_a3_per_fu": 369.3,
  "raw_formation_energy_kj_per_mol_atoms": -104.75,
  "rho_g_cm3": 8.067,
  "cell": [[3.838, -6.651, 0.000], [3.838, 6.651, 0.000], [-2.574, 0.000, 7.233]],
  "species": ["Ac", "Er", "Er", "Er", "Er", "Er", "Sb", "Sb", "Sb", "Sb", "Sb", "Sb"],
  "frac_coords": [[0.000, 0.000, 0.000], [0.161, 0.839, 0.500], [0.331, 0.669, 0.000], [0.500, 0.500, 0.500], [0.669, 0.331, 0.000], [0.839, 0.161, 0.500], [0.087, 0.435, 0.260], [0.263, 0.263, 0.745], [0.435, 0.087, 0.260], [0.565, 0.913, 0.740], [0.737, 0.737, 0.255], [0.913, 0.565, 0.740]]
}

---

(8)
{
  "formula": "AcErSb2",
  "functional": "PBE-GGA",
  "state": "relaxed",
  "volume_a3_per_fu": 134.9,
  "raw_formation_energy_kj_per_mol_atoms": -106.03,
  "rho_g_cm3": 7.850,
  "cell": [[4.548, 0.000, 0.000], [-2.274, 3.938, 0.000], [0.000, 0.000, 15.064]],
  "species": ["Ac", "Ac", "Er", "Er", "Sb", "Sb", "Sb", "Sb"],
  "frac_coords": [[0.333, 0.667, 0.250], [0.667, 0.333, 0.750], [0.000, 0.000, 0.000], [0.000, 0.000, 0.500], [0.333, 0.667, 0.611], [0.333, 0.667, 0.889], [0.667, 0.333, 0.111], [0.667, 0.333, 0.389]]
}

---

(9)
{
  "formula": "AcErSb2",
  "functional": "PBE-GGA",
  "state": "relaxed",
  "volume_a3_per_fu": 121.4,
  "raw_formation_energy_kj_per_mol_atoms": -79.79,
  "rho_g_cm3": 8.724,
  "cell": [[3.903, 0.000, 0.000], [0.000, 3.903, 0.000], [0.000, 0.000, 7.968]],
  "species": ["Ac", "Er", "Sb", "Sb"],
  "frac_coords": [[0.000, 0.000, 0.000], [0.000, 0.000, 0.500], [0.500, 0.500, 0.275], [0.500, 0.500, 0.725]]
}

---

(10)
{
  "formula": "AcErSb2",
  "functional": "PBE-GGA",
  "state": "relaxed",
  "volume_a3_per_fu": 137.0,
  "raw_formation_energy_kj_per_mol_atoms": -100.75,
  "rho_g_cm3": 7.730,
  "cell": [[2.258, 1.304, 7.756], [-2.258, 1.304, 7.756], [0.000, -2.608, 7.756]],
  "species": ["Ac", "Er", "Sb", "Sb"],
  "frac_coords": [[0.000, 0.000, 0.000], [0.829, 0.829, 0.829], [0.239, 0.239, 0.239], [0.423, 0.423, 0.423]]
}

---

(11)
{
  "formula": "AcErSb2",
  "functional": "PBE-GGA",
  "state": "relaxed",
  "volume_a3_per_fu": 136.6,
  "raw_formation_energy_kj_per_mol_atoms": -107.06,
  "rho_g_cm3": 7.755,
  "cell": [[4.565, 0.000, 0.000], [0.000, 6.538, 0.000], [0.000, 0.000, 9.152]],
  "species": ["Ac", "Ac", "Er", "Er", "Sb", "Sb", "Sb", "Sb"],
  "frac_coords": [[0.250, 0.250, 0.131], [0.750, 0.750, 0.869], [0.250, 0.250, 0.623], [0.750, 0.750, 0.377], [0.250, 0.750, 0.143], [0.250, 0.750, 0.605], [0.750, 0.250, 0.395], [0.750, 0.250, 0.857]]
}

---

(12)
{
  "formula": "AcErSb2",
  "functional": "PBE-GGA",
  "state": "relaxed",
  "volume_a3_per_fu": 135.6,
  "raw_formation_energy_kj_per_mol_atoms": -109.19,
  "rho_g_cm3": 7.810,
  "cell": [[2.291, 1.323, 7.455], [-2.291, 1.323, 7.455], [0.000, -2.646, 7.455]],
  "species": ["Ac", "Er", "Sb", "Sb"],
  "frac_coords": [[0.000, 0.000, 0.000], [0.500, 0.500, 0.500], [0.241, 0.241, 0.241], [0.759, 0.759, 0.759]]
}

---

(13)
{
  "formula": "Ac2ErSb3",
  "functional": "PBE-GGA",
  "state": "relaxed",
  "volume_a3_per_fu": 214.1,
  "raw_formation_energy_kj_per_mol_atoms": -110.01,
  "rho_g_cm3": 7.651,
  "cell": [[4.035, -6.989, 0.000], [4.035, 6.989, 0.000], [-2.703, 0.000, 7.593]],
  "species": ["Ac", "Ac", "Ac", "Ac", "Er", "Er", "Sb", "Sb", "Sb", "Sb", "Sb", "Sb"],
  "frac_coords": [[0.000, 0.000, 0.000], [0.163, 0.837, 0.500], [0.500, 0.500, 0.500], [0.837, 0.163, 0.500], [0.332, 0.668, 0.000], [0.668, 0.332, 0.000], [0.078, 0.425, 0.234], [0.271, 0.271, 0.770], [0.425, 0.078, 0.234], [0.575, 0.922, 0.766], [0.729, 0.729, 0.230], [0.922, 0.575, 0.766]]
}

---

(14)
{
  "formula": "AcErSb2",
  "functional": "PBE-GGA",
  "state": "relaxed",
  "volume_a3_per_fu": 122.3,
  "raw_formation_energy_kj_per_mol_atoms": -79.17,
  "rho_g_cm3": 8.656,
  "cell": [[0.000, 3.940, 3.940], [3.940, 0.000, 3.940], [3.940, 3.940, 0.000]],
  "species": ["Ac", "Er", "Sb", "Sb"],
  "frac_coords": [[0.000, 0.000, 0.000], [0.500, 0.500, 0.500], [0.250, 0.250, 0.250], [0.750, 0.750, 0.750]]
}

---

(15)
{
  "formula": "AcErSb",
  "functional": "PBE-GGA",
  "state": "relaxed",
  "volume_a3_per_fu": 102.7,
  "raw_formation_energy_kj_per_mol_atoms": -46.42,
  "rho_g_cm3": 8.342,
  "cell": [[5.213, 0.000, 0.000], [-2.606, 4.515, 0.000], [0.000, 0.000, 4.365]],
  "species": ["Ac", "Er", "Sb"],
  "frac_coords": [[0.000, 0.000, 0.000], [0.333, 0.667, 0.500], [0.667, 0.333, 0.498]]
}

---

(16)
{
  "formula": "Ac4ErSb5",
  "functional": "PBE-GGA",
  "state": "relaxed",
  "volume_a3_per_fu": 371.5,
  "raw_formation_energy_kj_per_mol_atoms": -111.62,
  "rho_g_cm3": 7.527,
  "cell": [[-5.267, 5.267, 3.348], [5.267, -5.267, 3.348], [5.267, 5.267, -3.348]],
  "species": ["Ac", "Ac", "Ac", "Ac", "Er", "Sb", "Sb", "Sb", "Sb", "Sb"],
  "frac_coords": [[0.096, 0.700, 0.796], [0.300, 0.096, 0.396], [0.700, 0.904, 0.604], [0.904, 0.300, 0.204], [0.500, 0.500, 0.000], [0.000, 0.000, 0.000], [0.214, 0.404, 0.618], [0.404, 0.786, 0.190], [0.596, 0.214, 0.810], [0.786, 0.596, 0.382]]
}

---

(17)
{
  "formula": "AcErSb",
  "functional": "PBE-GGA",
  "state": "relaxed",
  "volume_a3_per_fu": 99.5,
  "raw_formation_energy_kj_per_mol_atoms": -57.58,
  "rho_g_cm3": 8.613,
  "cell": [[-2.035, 2.035, 6.006], [2.035, -2.035, 6.006], [2.035, 2.035, -6.006]],
  "species": ["Ac", "Er", "Sb"],
  "frac_coords": [[0.000, 0.000, 0.000], [0.292, 0.292, 0.000], [0.685, 0.685, 0.000]]
}

---

(18)
{
  "formula": "AcErSb3",
  "functional": "PBE-GGA",
  "state": "relaxed",
  "volume_a3_per_fu": 181.4,
  "raw_formation_energy_kj_per_mol_atoms": -32.08,
  "rho_g_cm3": 6.953,
  "cell": [[5.661, 0.000, 0.000], [0.000, 5.661, 0.000], [0.000, 0.000, 5.661]],
  "species": ["Ac", "Er", "Sb", "Sb", "Sb"],
  "frac_coords": [[0.000, 0.000, 0.000], [0.500, 0.500, 0.500], [0.000, 0.500, 0.500], [0.500, 0.000, 0.500], [0.500, 0.500, 0.000]]
}

---

(19)
{
  "formula": "Ac2ErSb2Se2",
  "functional": "PBE-GGA",
  "state": "relaxed",
  "volume_a3_per_fu": 254.8,
  "raw_formation_energy_kj_per_mol_atoms": -106.02,
  "rho_g_cm3": 6.666,
  "cell": [[-2.859, 2.859, 7.791], [2.859, -2.859, 7.791], [2.859, 2.859, -7.791]],
  "species": ["Ac", "Ac", "Er", "Sb", "Sb", "Se", "Se"],
  "frac_coords": [[0.131, 0.131, 0.000], [0.869, 0.869, 0.000], [0.500, 0.500, 0.000], [0.000, 0.500, 0.500], [0.500, 0.000, 0.500], [0.319, 0.319, 0.000], [0.681, 0.681, 0.000]]
}

---

(20)
{
  "formula": "AcErSbSe",
  "functional": "PBE-GGA",
  "state": "relaxed",
  "volume_a3_per_fu": 134.4,
  "raw_formation_energy_kj_per_mol_atoms": -116.67,
  "rho_g_cm3": 7.353,
  "cell": [[5.093, 0.000, 0.000], [0.000, 5.093, 0.000], [0.000, 0.000, 10.362]],
  "species": ["Ac", "Ac", "Er", "Er", "Sb", "Sb", "Se", "Se"],
  "frac_coords": [[0.250, 0.250, 0.158], [0.750, 0.750, 0.842], [0.250, 0.750, 0.500], [0.750, 0.250, 0.500], [0.250, 0.250, 0.666], [0.750, 0.750, 0.334], [0.250, 0.750, 0.000], [0.750, 0.250, 0.000]]
}

---

(21)
{
  "formula": "AcSmEr2Sb4",
  "functional": "PBE-GGA",
  "state": "relaxed",
  "volume_a3_per_fu": 257.6,
  "raw_formation_energy_kj_per_mol_atoms": -107.86,
  "rho_g_cm3": 7.728,
  "cell": [[7.779, 0.000, 0.000], [0.000, 4.504, 0.000], [-2.600, 0.000, 7.353]],
  "species": ["Ac", "Sm", "Er", "Er", "Sb", "Sb", "Sb", "Sb"],
  "frac_coords": [[0.000, 0.000, 0.000], [0.000, 0.500, 0.500], [0.500, 0.000, 0.500], [0.500, 0.500, 0.000], [0.264, 0.000, 0.747], [0.270, 0.500, 0.265], [0.730, 0.500, 0.735], [0.736, 0.000, 0.253]]
}

---

(22)
{
  "formula": "AcTb2ErSb4",
  "functional": "PBE-GGA",
  "state": "relaxed",
  "volume_a3_per_fu": 257.2,
  "raw_formation_energy_kj_per_mol_atoms": -107.42,
  "rho_g_cm3": 7.742,
  "cell": [[7.782, 0.000, 0.000], [0.000, 4.499, 0.000], [-2.589, 0.000, 7.347]],
  "species": ["Ac", "Tb", "Tb", "Er", "Sb", "Sb", "Sb", "Sb"],
  "frac_coords": [[0.000, 0.000, 0.000], [0.000, 0.500, 0.500], [0.500, 0.000, 0.500], [0.500, 0.500, 0.000], [0.260, 0.000, 0.745], [0.266, 0.500, 0.264], [0.734, 0.500, 0.736], [0.740, 0.000, 0.255]]
}

---

(23)
{
  "formula": "Ac2TbErSb4",
  "functional": "PBE-GGA",
  "state": "relaxed",
  "volume_a3_per_fu": 273.4,
  "raw_formation_energy_kj_per_mol_atoms": -110.61,
  "rho_g_cm3": 7.698,
  "cell": [[7.939, 0.000, 0.000], [0.000, 4.593, 0.000], [-2.654, 0.000, 7.496]],
  "species": ["Ac", "Ac", "Tb", "Er", "Sb", "Sb", "Sb", "Sb"],
  "frac_coords": [[0.000, 0.000, 0.000], [0.000, 0.500, 0.500], [0.500, 0.000, 0.500], [0.500, 0.500, 0.000], [0.273, 0.500, 0.256], [0.274, 0.000, 0.760], [0.726, 0.000, 0.240], [0.727, 0.500, 0.744]]
}

---

(24)
{
  "formula": "AcTbEr2Sb4",
  "functional": "PBE-GGA",
  "state": "relaxed",
  "volume_a3_per_fu": 254.8,
  "raw_formation_energy_kj_per_mol_atoms": -106.56,
  "rho_g_cm3": 7.868,
  "cell": [[7.756, 0.000, 0.000], [0.000, 4.487, 0.000], [-2.586, 0.000, 7.324]],
  "species": ["Ac", "Tb", "Er", "Er", "Sb", "Sb", "Sb", "Sb"],
  "frac_coords": [[0.000, 0.000, 0.000], [0.000, 0.500, 0.500], [0.500, 0.000, 0.500], [0.500, 0.500, 0.000], [0.261, 0.000, 0.744], [0.268, 0.500, 0.266], [0.732, 0.500, 0.734], [0.739, 0.000, 0.256]]
}

---

(25)
{
  "formula": "AcErTh2Sb4",
  "functional": "PBE-GGA",
  "state": "relaxed",
  "volume_a3_per_fu": 265.3,
  "raw_formation_energy_kj_per_mol_atoms": -96.34,
  "rho_g_cm3": 8.420,
  "cell": [[7.866, 0.000, 0.000], [0.000, 4.545, 0.000], [-2.628, 0.000, 7.421]],
  "species": ["Ac", "Er", "Th", "Th", "Sb", "Sb", "Sb", "Sb"],
  "frac_coords": [[0.000, 0.000, 0.000], [0.500, 0.500, 0.000], [0.000, 0.500, 0.500], [0.500, 0.000, 0.500], [0.261, 0.000, 0.751], [0.263, 0.500, 0.257], [0.737, 0.500, 0.743], [0.739, 0.000, 0.249]]
}